Mg2ReCl after structural relaxation. Source: Alexandria via LeMat-Bulk, functional PBE.

Values from the calculation:
Energy relative to the lowest polymorph listed for this composition   319 kJ/mol of formula units
SG   I-42d, No. 122
Formation energy (no corrections)   15.25 kcal/mol of atoms

Cell: 7.2186 7.2186 5.9280 Å, 52.49 52.49 90.00°
Sites, in units of the cell vectors:
Cl: 0.5000 0.5000 0.0000
Cl: 0.2500 0.7500 0.5000
Mg: 0.1531 0.6250 0.2500
Mg: 0.8750 0.8469 0.7500
Mg: 0.5969 0.1250 0.2500
Mg: 0.3750 0.4031 0.7500
Re: 0.0000 0.0000 0.0000
Re: 0.7500 0.2500 0.5000

MgRe2Cl after structural relaxation. Source: Alexandria via LeMat-Bulk, functional PBE.

Values from the calculation:
Energy relative to the lowest polymorph listed for this composition   297 kJ/mol of formula units
SG   Cmmm, No. 65
Formation energy (no corrections)   19.00 kcal/mol of atoms

Cell: 2.8319 2.8319 9.3237 Å, 90.00 90.00 120.30°
Sites, in units of the cell vectors:
Mg: 0.5000 0.5000 0.7500
Re: 0.0000 0.0000 0.0072
Re: 0.0000 0.0000 0.4928
Cl: 0.5000 0.5000 0.2500

MgRe2Cl after structural relaxation. Source: Alexandria via LeMat-Bulk, functional PBE.

Values from the calculation:
Energy relative to the lowest polymorph listed for this composition   79 kJ/mol of formula units
SG   Cmm2, No. 35
Formation energy (no corrections)   5.99 kcal/mol of atoms

Cell: 2.8759 2.8759 9.1491 Å, 90.00 90.00 114.95°
Sites, in units of the cell vectors:
Cl: 0.0000 0.0000 0.5447
Re: 0.5000 0.5000 0.2175
Re: 0.0000 0.0000 0.9977
Mg: 0.5000 0.5000 0.7401

MgReCl2 after structural relaxation. Source: Alexandria via LeMat-Bulk, functional PBE.

Values from the calculation:
Energy relative to the lowest polymorph listed for this composition   177 kJ/mol of formula units
SG   Pmmm, No. 47
Formation energy (no corrections)   7.12 kcal/mol of atoms

Cell: 2.9401 5.8177 4.2384 Å, 90.00 90.00 90.00°
Sites, in units of the cell vectors:
Cl: 0.0000 0.0000 0.0000
Cl: 0.5000 0.5000 0.0000
Mg: 0.5000 0.0000 0.5000
Re: 0.0000 0.5000 0.5000

MgRe2Cl after structural relaxation. Source: Alexandria via LeMat-Bulk, functional PBE.

Values from the calculation:
Energy relative to the lowest polymorph listed for this composition   312 kJ/mol of formula units
SG   I-4m2, No. 119
Formation energy (no corrections)   19.89 kcal/mol of atoms

Cell: 4.5102 4.5102 4.5102 Å, 120.57 120.57 89.02°
Sites, in units of the cell vectors:
Cl: 0.5000 0.5000 0.0000
Mg: 0.7500 0.2500 0.5000
Re: 0.0000 0.0000 0.0000
Re: 0.2500 0.7500 0.5000

MgReCl after structural relaxation. Source: Alexandria via LeMat-Bulk, functional PBE.

Values from the calculation:
Energy relative to the lowest polymorph listed for this composition   330 kJ/mol of formula units
SG   F-43m, No. 216
Formation energy (no corrections)   31.18 kcal/mol of atoms

Cell: 4.2642 4.2642 4.2642 Å, 60.00 60.00 60.00°
Sites, in units of the cell vectors:
Mg: 0.0000 0.0000 0.0000
Cl: 0.7500 0.7500 0.7500
Re: 0.5000 0.5000 0.5000

MgRe2Cl after structural relaxation. Source: Alexandria via LeMat-Bulk, functional PBE.

Values from the calculation:
Energy relative to the lowest polymorph listed for this composition   490 kJ/mol of formula units
SG   P4/mmm, No. 123
Formation energy (no corrections)   30.57 kcal/mol of atoms

Cell: 4.6923 4.6923 2.8113 Å, 90.00 90.00 90.00°
Sites, in units of the cell vectors:
Cl: 0.5000 0.0000 0.5000
Re: 0.5000 0.5000 0.0000
Re: 0.0000 0.0000 0.0000
Mg: 0.0000 0.5000 0.5000

MgReCl2 after structural relaxation. Source: Alexandria via LeMat-Bulk, functional PBE.

Values from the calculation:
Energy relative to the lowest polymorph listed for this composition   337 kJ/mol of formula units
SG   Fm-3m, No. 225
Formation energy (no corrections)   16.70 kcal/mol of atoms

Cell: 4.5213 4.5213 4.5213 Å, 60.00 60.00 60.00°
Sites, in units of the cell vectors:
Cl: 0.7500 0.7500 0.7500
Cl: 0.2500 0.2500 0.2500
Re: 0.5000 0.5000 0.5000
Mg: 0.0000 0.0000 0.0000

Mg2ReCl after structural relaxation. Source: Alexandria via LeMat-Bulk, functional PBE.

Values from the calculation:
Energy relative to the lowest polymorph listed for this composition   303 kJ/mol of formula units
SG   I-4m2, No. 119
Formation energy (no corrections)   14.27 kcal/mol of atoms

Cell: 5.9160 5.9160 5.9160 Å, 142.26 142.26 54.43°
Sites, in units of the cell vectors:
Mg: 0.0000 0.0000 0.0000
Mg: 0.2500 0.7500 0.5000
Cl: 0.7500 0.2500 0.5000
Re: 0.5000 0.5000 0.0000

MgReCl2 after structural relaxation. Source: Alexandria via LeMat-Bulk, functional PBE.

Values from the calculation:
Energy relative to the lowest polymorph listed for this composition   23 kJ/mol of formula units
SG   Cmm2, No. 35
Formation energy (no corrections)   -2.10 kcal/mol of atoms

Cell: 3.1487 3.1487 9.4628 Å, 90.00 90.00 119.85°
Sites, in units of the cell vectors:
Mg: 0.0000 0.0000 0.4973
Cl: 0.5000 0.5000 0.3159
Cl: 0.0000 0.0000 0.9385
Re: 0.5000 0.5000 0.7484

MgReCl2 after structural relaxation. Source: Alexandria via LeMat-Bulk, functional PBE.

Values from the calculation:
Energy relative to the lowest polymorph listed for this composition   342 kJ/mol of formula units
SG   Pmmm, No. 47
Formation energy (no corrections)   16.99 kcal/mol of atoms

Cell: 3.1920 3.9217 6.2029 Å, 90.00 90.00 90.00°
Sites, in units of the cell vectors:
Cl: 0.0000 0.0000 0.4971
Cl: 0.0000 0.0000 0.0029
Re: 0.5000 0.5000 0.7500
Mg: 0.5000 0.5000 0.2500

Mg2ReCl after structural relaxation. Source: Alexandria via LeMat-Bulk, functional PBE.

Values from the calculation:
Energy relative to the lowest polymorph listed for this composition   172 kJ/mol of formula units
SG   Cmm2, No. 35
Formation energy (no corrections)   6.42 kcal/mol of atoms

Cell: 2.8816 2.8816 10.5475 Å, 90.00 90.00 107.20°
Sites, in units of the cell vectors:
Mg: 0.5000 0.5000 0.2388
Mg: 0.0000 0.0000 0.9864
Cl: 0.5000 0.5000 0.8341
Re: 0.0000 0.0000 0.4407

MgRe2Cl after structural relaxation. Source: Alexandria via LeMat-Bulk, functional PBE.

Values from the calculation:
Energy relative to the lowest polymorph listed for this composition   429 kJ/mol of formula units
SG   I-42d, No. 122
Formation energy (no corrections)   26.89 kcal/mol of atoms

Cell: 7.7488 7.7488 5.9560 Å, 49.42 49.42 90.00°
Sites, in units of the cell vectors:
Re: 0.6915 0.1250 0.2500
Re: 0.3750 0.3085 0.7500
Re: 0.8750 0.9415 0.7500
Re: 0.0585 0.6250 0.2500
Mg: 0.5000 0.5000 0.0000
Mg: 0.2500 0.7500 0.5000
Cl: 0.7500 0.2500 0.5000
Cl: 0.0000 0.0000 0.0000

MgReCl after structural relaxation. Source: Alexandria via LeMat-Bulk, functional PBE.

Values from the calculation:
Energy relative to the lowest polymorph listed for this composition   0 kJ/mol of formula units
SG   P3m1, No. 156
Formation energy (no corrections)   4.91 kcal/mol of atoms

Cell: 2.9285 2.9285 7.9380 Å, 90.00 90.00 120.00°
Sites, in units of the cell vectors:
Re: 0.3333 0.6667 0.5972
Cl: 0.0000 0.0000 0.0954
Mg: 0.6667 0.3333 0.3074

Mg2ReRuCl after structural relaxation. Source: Alexandria via LeMat-Bulk, functional PBE.

Values from the calculation:
SG   P4/mmm, No. 123
Formation energy (no corrections)   20.29 kcal/mol of atoms

Cell: 5.3105 4.5576 5.3105 Å, 90.00 90.00 90.00°
Sites, in units of the cell vectors:
Cl: 0.5000 0.5000 0.5000
Re: 0.0000 0.0000 0.0000
Ru: 0.0000 0.5000 0.0000
Mg: 0.5000 0.0000 0.0000
Mg: 0.0000 0.0000 0.5000

MgReS2Cl after structural relaxation. Source: Alexandria via LeMat-Bulk, functional PBE.

Values from the calculation:
Energy relative to the lowest polymorph listed for this composition   0 kJ/mol of formula units
SG   P4/mmm, No. 123
Formation energy (no corrections)   -0.23 kcal/mol of atoms

Cell: 4.5893 4.5893 5.0817 Å, 90.00 90.00 90.00°
Sites, in units of the cell vectors:
Re: 0.0000 0.0000 0.0000
S: 0.0000 0.5000 0.0000
S: 0.5000 0.0000 0.0000
Mg: 0.5000 0.5000 0.5000
Cl: 0.0000 0.0000 0.5000

MgReS2Cl after structural relaxation. Source: Alexandria via LeMat-Bulk, functional PBE.

Values from the calculation:
Energy relative to the lowest polymorph listed for this composition   337 kJ/mol of formula units
SG   P4/mmm, No. 123
Formation energy (no corrections)   15.88 kcal/mol of atoms

Cell: 4.8710 4.8710 4.5162 Å, 90.00 90.00 90.00°
Sites, in units of the cell vectors:
S: 0.5000 0.0000 0.0000
S: 0.0000 0.5000 0.0000
Re: 0.5000 0.5000 0.5000
Cl: 0.0000 0.0000 0.5000
Mg: 0.0000 0.0000 0.0000

Mg2ReSeCl after structural relaxation. Source: Alexandria via LeMat-Bulk, functional PBE.

Values from the calculation:
SG   P4/mmm, No. 123
Formation energy (no corrections)   17.51 kcal/mol of atoms

Cell: 4.9970 4.2788 4.9970 Å, 90.00 90.00 90.00°
Sites, in units of the cell vectors:
Mg: 0.0000 0.0000 0.5000
Mg: 0.5000 0.0000 0.0000
Se: 0.5000 0.5000 0.5000
Re: 0.0000 0.5000 0.0000
Cl: 0.0000 0.0000 0.0000

MgReSn2Cl after structural relaxation. Source: Alexandria via LeMat-Bulk, functional PBE.

Values from the calculation:
SG   P4/mmm, No. 123
Formation energy (no corrections)   23.92 kcal/mol of atoms

Cell: 5.5087 5.5087 4.2873 Å, 90.00 90.00 90.00°
Sites, in units of the cell vectors:
Mg: 0.5000 0.5000 0.5000
Re: 0.0000 0.0000 0.5000
Sn: 0.0000 0.5000 0.0000
Sn: 0.5000 0.0000 0.0000
Cl: 0.0000 0.0000 0.0000

Mg2TaReCl after structural relaxation. Source: Alexandria via LeMat-Bulk, functional PBE.

Values from the calculation:
SG   P4/mmm, No. 123
Formation energy (no corrections)   30.30 kcal/mol of atoms

Cell: 5.6650 4.6776 5.6650 Å, 90.00 90.00 90.00°
Sites, in units of the cell vectors:
Mg: 0.0000 0.0000 0.5000
Mg: 0.5000 0.0000 0.0000
Cl: 0.5000 0.5000 0.5000
Ta: 0.0000 0.0000 0.0000
Re: 0.0000 0.5000 0.0000